An optimized crystal structure of Zr3ScCo4. Source: Alexandria, functional GGA-PBE.

a b c (Å): 3.165 4.504 9.009
angles (deg): 90.00 90.00 90.00
Element x y z (fractional)
1 Zr 0.000 0.000 0.000
2 Zr 0.000 0.500 0.254
3 Zr 0.000 0.500 0.746
4 Sc 0.000 0.000 0.500
5 Co 0.500 0.000 0.247
6 Co 0.500 0.000 0.753
7 Co 0.500 0.500 0.000
8 Co 0.500 0.500 0.500

M_tot   2.18 μB/f.u.
Final energy   -7.860 eV per atom
Calculated volume   16.054 A^3/atom
ΔH_f (0 K)   -2.5 eV per formula unit